--- a ---
# HfMgTeW

Crystalline HfMgTeW at its relaxed geometry (PBE-GGA, OQMD).

Lattice parameters (Å, degrees): 4.768 4.768 4.768 60.00 60.00 60.00
Fractional coordinates of all 4 atoms:
Hf (0.000, 0.000, 0.000)
Mg (0.250, 0.250, 0.250)
Te (0.500, 0.500, 0.500)
W (0.750, 0.750, 0.750)

---

--- b ---
# HfMgTeW

Crystalline HfMgTeW at its relaxed geometry (PBE-GGA, OQMD).

Lattice parameters (Å, degrees): 4.782 4.782 4.782 60.00 60.00 60.00
Fractional coordinates of all 4 atoms:
Hf (0.000, 0.000, 0.000)
Mg (0.750, 0.750, 0.750)
Te (0.250, 0.250, 0.250)
W (0.500, 0.500, 0.500)

---

On energetic grounds, a is preferred over the next structure by 113 meV per atom.

---

--- a ---
# HfMo2

Crystalline HfMo2 at its relaxed geometry (PBE-GGA, OQMD).

Lattice parameters (Å, degrees): 5.543 5.543 5.543 133.03 107.38 91.09
Fractional coordinates of all 6 atoms:
Hf (0.304, 0.054, 0.250)
Hf (0.696, 0.946, 0.750)
Mo (0.099, 0.660, 0.438)
Mo (0.278, 0.340, 0.938)
Mo (0.722, 0.660, 0.062)
Mo (0.901, 0.340, 0.562)

---

--- b ---
# HfMo2

Crystalline HfMo2 at its relaxed geometry (PBE-GGA, OQMD).

Lattice parameters (Å, degrees): 5.387 5.387 8.633 90.00 90.00 120.00
Fractional coordinates of all 12 atoms:
Hf (0.333, 0.667, 0.060)
Hf (0.333, 0.667, 0.440)
Hf (0.667, 0.333, 0.560)
Hf (0.667, 0.333, 0.940)
Mo (0.000, 0.000, 0.000)
Mo (0.000, 0.000, 0.500)
Mo (0.170, 0.340, 0.750)
Mo (0.170, 0.830, 0.750)
Mo (0.340, 0.170, 0.250)
Mo (0.660, 0.830, 0.750)
Mo (0.830, 0.170, 0.250)
Mo (0.830, 0.660, 0.250)

---

--- c ---
# HfMo2

Crystalline HfMo2 at its relaxed geometry (PBE-GGA, OQMD).

Lattice parameters (Å, degrees): 5.363 5.363 17.400 90.00 90.00 120.00
Fractional coordinates of all 24 atoms:
Hf (0.000, 0.000, 0.094)
Hf (0.000, 0.000, 0.406)
Hf (0.000, 0.000, 0.594)
Hf (0.000, 0.000, 0.906)
Hf (0.333, 0.667, 0.156)
Hf (0.333, 0.667, 0.344)
Hf (0.667, 0.333, 0.656)
Hf (0.667, 0.333, 0.844)
Mo (0.000, 0.500, 0.000)
Mo (0.000, 0.500, 0.500)
Mo (0.163, 0.326, 0.750)
Mo (0.163, 0.837, 0.750)
Mo (0.326, 0.163, 0.250)
Mo (0.333, 0.667, 0.624)
Mo (0.333, 0.667, 0.876)
Mo (0.500, 0.000, 0.000)
Mo (0.500, 0.000, 0.500)
Mo (0.500, 0.500, 0.000)
Mo (0.500, 0.500, 0.500)
Mo (0.667, 0.333, 0.124)
Mo (0.667, 0.333, 0.376)
Mo (0.674, 0.837, 0.750)
Mo (0.837, 0.163, 0.250)
Mo (0.837, 0.674, 0.250)

---

On energetic grounds, c is preferred over the next structure by 15 meV per atom.

---

--- a ---
# Hf2Mo

Crystalline Hf2Mo at its relaxed geometry (PBE-GGA, OQMD).

Lattice parameters (Å, degrees): 5.747 5.747 5.747 145.95 145.95 48.92
Fractional coordinates of all 3 atoms:
Hf (0.148, 0.148, 0.000)
Hf (0.852, 0.852, 0.000)
Mo (0.500, 0.500, 0.000)

---

--- b ---
# Hf2Mo

Crystalline Hf2Mo at its relaxed geometry (PBE-GGA, OQMD).

Lattice parameters (Å, degrees): 5.568 5.568 8.825 90.00 90.00 120.00
Fractional coordinates of all 12 atoms:
Hf (0.000, 0.000, 0.000)
Hf (0.000, 0.000, 0.500)
Hf (0.174, 0.348, 0.250)
Hf (0.174, 0.826, 0.250)
Hf (0.348, 0.174, 0.750)
Hf (0.652, 0.826, 0.250)
Hf (0.826, 0.174, 0.750)
Hf (0.826, 0.652, 0.750)
Mo (0.333, 0.667, 0.564)
Mo (0.333, 0.667, 0.936)
Mo (0.667, 0.333, 0.064)
Mo (0.667, 0.333, 0.436)

---

--- c ---
# Hf2Mo

Crystalline Hf2Mo at its relaxed geometry (PBE-GGA, OQMD).

Lattice parameters (Å, degrees): 7.892 7.892 7.892 60.00 60.00 60.00
Fractional coordinates of all 6 atoms:
Hf (0.000, 0.000, 0.000)
Hf (0.000, 0.000, 0.500)
Hf (0.000, 0.500, 0.000)
Hf (0.500, 0.000, 0.000)
Mo (0.125, 0.125, 0.125)
Mo (0.875, 0.875, 0.875)

---

--- d ---
# Hf2Mo

Crystalline Hf2Mo at its relaxed geometry (PBE-GGA, OQMD).

Lattice parameters (Å, degrees): 5.544 5.544 5.544 60.00 60.00 60.00
Fractional coordinates of all 6 atoms:
Hf (0.000, 0.000, 0.000)
Hf (0.000, 0.000, 0.500)
Hf (0.000, 0.500, 0.000)
Hf (0.500, 0.000, 0.000)
Mo (0.375, 0.375, 0.375)
Mo (0.625, 0.625, 0.625)

---

On energetic grounds, a is preferred over the next structure by 646 meV per atom.

---

--- a ---
# NaHfReMo

Crystalline NaHfReMo at its relaxed geometry (PBE-GGA, OQMD).

Lattice parameters (Å, degrees): 4.642 4.642 4.642 60.00 60.00 60.00
Fractional coordinates of all 4 atoms:
Na (0.000, 0.000, 0.000)
Hf (0.500, 0.500, 0.500)
Re (0.250, 0.250, 0.250)
Mo (0.750, 0.750, 0.750)

---

--- b ---
# NaHfReMo

Crystalline NaHfReMo at its relaxed geometry (PBE-GGA, OQMD).

Lattice parameters (Å, degrees): 4.609 4.609 4.609 60.00 60.00 60.00
Fractional coordinates of all 4 atoms:
Na (0.000, 0.000, 0.000)
Hf (0.250, 0.250, 0.250)
Re (0.500, 0.500, 0.500)
Mo (0.750, 0.750, 0.750)

---

On energetic grounds, b is preferred over the next structure by 448 meV per atom.

---

--- a ---
# HfNiMo

Crystalline HfNiMo at its relaxed geometry (PBE-GGA, OQMD).

Lattice parameters (Å, degrees): 4.321 4.321 4.321 60.00 60.00 60.00
Fractional coordinates of all 3 atoms:
Hf (0.000, 0.000, 0.000)
Ni (0.250, 0.250, 0.250)
Mo (0.750, 0.750, 0.750)

---

--- b ---
# HfNiMo

Crystalline HfNiMo at its relaxed geometry (PBE-GGA, OQMD).

Lattice parameters (Å, degrees): 4.203 4.203 4.203 60.00 60.00 60.00
Fractional coordinates of all 3 atoms:
Hf (0.000, 0.000, 0.000)
Ni (0.250, 0.250, 0.250)
Mo (0.500, 0.500, 0.500)

---

On energetic grounds, b is preferred over the next structure by 657 meV per atom.

---

--- a ---
# HfMoOs

Crystalline HfMoOs at its relaxed geometry (PBE-GGA, OQMD).

Lattice parameters (Å, degrees): 4.377 4.377 4.377 60.00 60.00 60.00
Fractional coordinates of all 3 atoms:
Hf (0.000, 0.000, 0.000)
Mo (0.500, 0.500, 0.500)
Os (0.250, 0.250, 0.250)

---

--- b ---
# HfMoOs

Crystalline HfMoOs at its relaxed geometry (PBE-GGA, OQMD).

Lattice parameters (Å, degrees): 4.380 4.380 4.380 60.00 60.00 60.00
Fractional coordinates of all 3 atoms:
Hf (0.000, 0.000, 0.000)
Mo (0.750, 0.750, 0.750)
Os (0.250, 0.250, 0.250)

---

On energetic grounds, a is preferred over the next structure by 864 meV per atom.